# CdPt2Rh

A geometry-optimized CdPt2Rh structure (PBEsol, the Alexandria database).

Properties
The calculation puts the total DFT energy (no corrections) at -5.9089 eV per atom. Its space group is No. 8. As for the energy of formation from the pure elements: -0.093 eV per atom.

```
CdPt2Rh
1.0
4.609 -1.390 0.000
4.609 1.390 0.000
-0.812 0.000 4.793
Cd Pt Rh
1 2 1
Direct
0.000 0.000 0.000 Cd
0.503 0.503 0.506 Pt
0.753 0.753 0.255 Pt
0.248 0.248 0.734 Rh
```


# CdPt2Rh

A geometry-optimized CdPt2Rh structure (PBEsol, the Alexandria database).

Properties
The calculation puts the total DFT energy (no corrections) at -5.8874 eV per atom. Its space group is No. 139. As for the energy of formation from the pure elements: -0.072 eV per atom.

```
CdPt2Rh
1.0
-1.964 1.964 3.982
1.964 -1.964 3.982
1.964 1.964 -3.982
Cd Pt Rh
1 2 1
Direct
0.000 0.000 0.000 Cd
0.250 0.750 0.500 Pt
0.750 0.250 0.500 Pt
0.500 0.500 0.000 Rh
```


| no. | DOS(E_F) (states/eV per atom) |
| --- | --- |
| 1 | 1.05 |
| 2 | 1.34 |